VASP calculation (GGA+U) on a relaxed structure of Li2PuVO6.

Cell and atoms, written as POSCAR:
```
Li2PuVO6
1.0
5.6337 0.0000 0.0000
0.0000 5.6337 0.0000
0.0000 0.0000 4.2048
Li Pu V O
2 1 1 6
direct
0.0000 0.5000 0.0000 Li
0.5000 0.0000 0.0000 Li
0.0000 0.0000 0.7916 Pu
0.5000 0.5000 0.7393 V
0.0000 0.0000 0.2972 O
0.2657 0.2657 0.8398 O
0.2657 0.7343 0.8398 O
0.5000 0.5000 0.3489 O
0.7343 0.2657 0.8398 O
0.7343 0.7343 0.8398 O
```

Results
Size of the total moment = 3.00 μB/f.u.
SG = P4mm, No. 99
Energy = -7.708 eV/atom